Entry 1:
# PBE Ac2Ta2O5, optimized geometry
data_Ac2Ta2O5
_cell_length_a 7.4234
_cell_length_b 4.1376
_cell_length_c 4.1376
_cell_angle_alpha 90.00
_cell_angle_beta 90.00
_cell_angle_gamma 90.00
_symmetry_space_group_name_H-M 'P 1'
_symmetry_Int_Tables_number 1
_symmetry_space_group_name_Hall 'P 1'
loop_
_atom_site_label
_atom_site_type_symbol
_atom_site_fract_x
_atom_site_fract_y
_atom_site_fract_z
_atom_site_occupancy
O1 O 0.7549 0.5000 0.0000 1
O2 O 0.2451 0.0000 0.5000 1
O3 O 0.2451 0.5000 0.0000 1
O4 O 0.5000 0.5000 0.5000 1
O5 O 0.7549 0.0000 0.5000 1
Ac1 Ac 0.0000 0.0000 0.0000 1
Ac2 Ac 0.5000 0.0000 0.0000 1
Ta1 Ta 0.1981 0.5000 0.5000 1
Ta2 Ta 0.8019 0.5000 0.5000 1
# E above lowest polymorph = 0.00 eV per formula unit
# Magnetization = 0.00 μB per formula unit

***

Entry 2:
# PBE SrSmSb2, optimized geometry
data_SrSmSb2
_cell_length_a 8.2604
_cell_length_b 8.2604
_cell_length_c 6.9952
_cell_angle_alpha 90.00
_cell_angle_beta 90.00
_cell_angle_gamma 120.00
_symmetry_space_group_name_H-M 'P 1'
_symmetry_Int_Tables_number 1
_symmetry_space_group_name_Hall 'P 1'
loop_
_atom_site_label
_atom_site_type_symbol
_atom_site_fract_x
_atom_site_fract_y
_atom_site_fract_z
_atom_site_occupancy
Sr1 Sr 0.3340 0.3340 0.5000 1
Sr2 Sr 0.6660 0.0000 0.5000 1
Sr3 Sr 0.0000 0.6660 0.5000 1
Sm1 Sm 0.0000 0.3326 0.0000 1
Sm2 Sm 0.6674 0.6674 0.0000 1
Sm3 Sm 0.3326 0.0000 0.0000 1
Sb1 Sb 0.6667 0.3333 0.7663 1
Sb2 Sb 0.0000 0.0000 0.7648 1
Sb3 Sb 0.6667 0.3333 0.2337 1
Sb4 Sb 0.3333 0.6667 0.2337 1
Sb5 Sb 0.0000 0.0000 0.2352 1
Sb6 Sb 0.3333 0.6667 0.7663 1
# Magnetization = 0.00 μB per formula unit

***

Entry 3:
A relaxed structure of Rb2Sr2Cd3, computed with PBE.

Cell and atoms, written as CIF:
```
data_Rb2Sr2Cd3
_cell_length_a 10.3062
_cell_length_b 10.3062
_cell_length_c 10.3062
_cell_angle_alpha 33.68
_cell_angle_beta 33.68
_cell_angle_gamma 33.68
_symmetry_space_group_name_H-M 'P 1'
_symmetry_Int_Tables_number 1
_symmetry_space_group_name_Hall 'P 1'
loop_
_atom_site_label
_atom_site_type_symbol
_atom_site_fract_x
_atom_site_fract_y
_atom_site_fract_z
_atom_site_occupancy
Rb1 Rb 0.2467 0.2467 0.2467 1
Rb2 Rb 0.7523 0.7523 0.7523 1
Cd1 Cd 0.3724 0.3724 0.3724 1
Cd2 Cd 0.8772 0.8772 0.8772 1
Cd3 Cd 0.6256 0.6256 0.6256 1
Sr1 Sr 0.9982 0.9982 0.9982 1
Sr2 Sr 0.5027 0.5027 0.5027 1
```

***

Entry 4:
A relaxed structure of K3Cu2Bi5S10, computed with PBE.

Cell and atoms, written as CIF:
```
data_K3Cu2Bi5S10
_cell_length_a 14.3418
_cell_length_b 17.8491
_cell_length_c 4.0485
_cell_angle_alpha 90.00
_cell_angle_beta 90.00
_cell_angle_gamma 90.00
_symmetry_space_group_name_H-M 'P 1'
_symmetry_Int_Tables_number 1
_symmetry_space_group_name_Hall 'P 1'
loop_
_atom_site_label
_atom_site_type_symbol
_atom_site_fract_x
_atom_site_fract_y
_atom_site_fract_z
_atom_site_occupancy
Cu1 Cu 0.2183 0.2480 0.0000 1
Cu2 Cu 0.7183 0.2520 0.5000 1
Cu3 Cu 0.7817 0.7520 0.0000 1
Cu4 Cu 0.2817 0.7480 0.5000 1
S1 S 0.1991 0.7342 0.0000 1
S2 S 0.6237 0.5533 0.0000 1
S3 S 0.3763 0.4467 0.0000 1
S4 S 0.8009 0.2658 0.0000 1
S5 S 0.1237 0.9467 0.5000 1
S6 S 0.3833 0.8513 0.5000 1
S7 S 0.6621 0.9633 0.0000 1
S8 S 0.8763 0.0533 0.5000 1
S9 S 0.8833 0.6487 0.0000 1
S10 S 0.5938 0.3598 0.5000 1
S11 S 0.9062 0.8598 0.0000 1
S12 S 0.1621 0.5367 0.5000 1
S13 S 0.6991 0.7658 0.5000 1
S14 S 0.1167 0.3513 0.0000 1
S15 S 0.6167 0.1487 0.5000 1
S16 S 0.8379 0.4633 0.5000 1
S17 S 0.4062 0.6402 0.5000 1
S18 S 0.3379 0.0367 0.0000 1
S19 S 0.0938 0.1402 0.0000 1
S20 S 0.3009 0.2342 0.5000 1
Bi1 Bi 0.5000 0.5000 0.5000 1
Bi2 Bi 0.7310 0.1040 0.0000 1
Bi3 Bi 0.2198 0.0969 0.5000 1
Bi4 Bi 0.7690 0.6040 0.5000 1
Bi5 Bi 0.7198 0.4031 0.0000 1
Bi6 Bi 0.0000 0.0000 0.0000 1
Bi7 Bi 0.7802 0.9031 0.5000 1
Bi8 Bi 0.2802 0.5969 0.0000 1
Bi9 Bi 0.2310 0.3960 0.5000 1
Bi10 Bi 0.2690 0.8960 0.0000 1
K1 K 0.0000 0.5000 0.0000 1
K2 K 0.5249 0.7466 0.0000 1
K3 K 0.0249 0.7534 0.5000 1
K4 K 0.4751 0.2534 0.0000 1
K5 K 0.9751 0.2466 0.5000 1
K6 K 0.5000 0.0000 0.5000 1
```

***

Entry 5:
# PBE TlCoPtW, optimized geometry
data_TlCoPtW
_cell_length_a 4.4892
_cell_length_b 4.4892
_cell_length_c 4.4892
_cell_angle_alpha 60.00
_cell_angle_beta 60.00
_cell_angle_gamma 60.00
_symmetry_space_group_name_H-M 'P 1'
_symmetry_Int_Tables_number 1
_symmetry_space_group_name_Hall 'P 1'
loop_
_atom_site_label
_atom_site_type_symbol
_atom_site_fract_x
_atom_site_fract_y
_atom_site_fract_z
_atom_site_occupancy
Tl1 Tl 0.0000 0.0000 0.0000 1
Pt1 Pt 0.5000 0.5000 0.5000 1
Co1 Co 0.7500 0.7500 0.7500 1
W1 W 0.2500 0.2500 0.2500 1
# E above lowest polymorph = 0.04 eV per formula unit
# Magnetization = 0.09 μB per formula unit

***

Entry 6:
# PBE NaBeTc, optimized geometry
data_NaBeTc
_cell_length_a 4.1219
_cell_length_b 4.1219
_cell_length_c 4.1219
_cell_angle_alpha 60.00
_cell_angle_beta 60.00
_cell_angle_gamma 60.00
_symmetry_space_group_name_H-M 'P 1'
_symmetry_Int_Tables_number 1
_symmetry_space_group_name_Hall 'P 1'
loop_
_atom_site_label
_atom_site_type_symbol
_atom_site_fract_x
_atom_site_fract_y
_atom_site_fract_z
_atom_site_occupancy
Be1 Be 0.0000 0.0000 0.0000 1
Na1 Na 0.2500 0.2500 0.2500 1
Tc1 Tc 0.7500 0.7500 0.7500 1
# E above lowest polymorph = 0.00 eV per formula unit
# Magnetization = 2.00 μB per formula unit

***

Entry 7:
# PBE BeNiMoPb, optimized geometry
data_BeNiMoPb
_cell_length_a 4.4107
_cell_length_b 4.4107
_cell_length_c 4.4107
_cell_angle_alpha 60.00
_cell_angle_beta 60.00
_cell_angle_gamma 60.00
_symmetry_space_group_name_H-M 'P 1'
_symmetry_Int_Tables_number 1
_symmetry_space_group_name_Hall 'P 1'
loop_
_atom_site_label
_atom_site_type_symbol
_atom_site_fract_x
_atom_site_fract_y
_atom_site_fract_z
_atom_site_occupancy
Ni1 Ni 0.7500 0.7500 0.7500 1
Mo1 Mo 0.2500 0.2500 0.2500 1
Pb1 Pb 0.0000 0.0000 0.0000 1
Be1 Be 0.5000 0.5000 0.5000 1
# E above lowest polymorph = 0.03 eV per formula unit
# Magnetization = 0.06 μB per formula unit

***

Entry 8:
# PBE AcBiOs, optimized geometry
data_AcBiOs
_cell_length_a 4.9651
_cell_length_b 4.9651
_cell_length_c 4.9651
_cell_angle_alpha 60.00
_cell_angle_beta 60.00
_cell_angle_gamma 60.00
_symmetry_space_group_name_H-M 'P 1'
_symmetry_Int_Tables_number 1
_symmetry_space_group_name_Hall 'P 1'
loop_
_atom_site_label
_atom_site_type_symbol
_atom_site_fract_x
_atom_site_fract_y
_atom_site_fract_z
_atom_site_occupancy
Os1 Os 0.0000 0.0000 0.0000 1
Ac1 Ac 0.2500 0.2500 0.2500 1
Bi1 Bi 0.7500 0.7500 0.7500 1
# E above lowest polymorph = 0.00 eV per formula unit
# Magnetization = 0.00 μB per formula unit

***

no.,energy (eV per atom)
1,-8.79
2,-4.66
3,-1.15
4,-4.21
5,-6.54
6,-3.89
7,-5.33
8,-6.33